(1)
A plane-wave DFT calculation with PBE-GGA was carried out for a geometry-optimized Tb5PmPr2Er structure.

```
Tb5PmPr2Er
1.0
-6.239 1.854 -5.797
4.642 -3.920 -6.250
-2.768 -5.817 7.671
Tb Pr Pm Er
10 4 2 2
Cartesian
-0.798 -1.033 -6.023 Tb
-1.783 -3.686 -8.591 Tb
-4.577 -1.585 -5.907 Tb
-5.349 -3.568 0.842 Tb
0.000 0.000 0.000 Tb
0.213 -6.298 1.531 Tb
-2.582 -4.197 4.215 Tb
-1.810 -2.214 -2.533 Tb
0.985 -4.315 -5.218 Tb
-2.554 -5.669 -1.842 Tb
-2.631 -0.789 -8.976 Pr
1.712 -2.749 -7.723 Pr
1.034 -1.277 -3.071 Pr
-3.308 0.682 -4.324 Pr
-1.783 -3.425 0.824 Pm
-2.581 -4.458 -5.200 Pm
-4.903 -2.498 -2.075 Er
0.538 -5.385 -2.301 Er
```

The total DFT energy (no corrections) comes out at -4.401 eV per atom. As for the energy relative to the elements: 0.268 eV/atom. As for the density of states at the Fermi level: 11.526 states/eV/f.u.

=====

(2)
A plane-wave DFT calculation with PBE-GGA was carried out for a geometry-optimized TlPd8Au5 structure.

```
TlPd8Au5
1.0
-0.208 4.439 -5.336
-6.228 -1.397 2.736
4.287 3.330 4.331
Tl Au Pd
1 5 8
Cartesian
0.049 2.909 3.282 Tl
-1.599 0.335 1.239 Au
3.429 4.235 2.703 Au
-5.038 3.167 -1.106 Au
2.039 3.885 -0.503 Au
-1.091 5.009 0.625 Au
-2.724 0.624 3.747 Pd
1.444 5.750 1.518 Pd
-2.545 2.621 -0.046 Pd
-0.475 3.751 -1.758 Pd
-4.371 -0.120 1.588 Pd
-2.260 4.197 3.015 Pd
0.093 2.438 0.667 Pd
2.239 6.231 -1.809 Pd
```

The total DFT energy (no corrections) comes out at -4.271 eV per atom. As for the energy relative to the elements: 0.036 eV/atom. As for the density of states at the Fermi level: 11.305 states/eV/f.u.

=====

(3)
A plane-wave DFT calculation with PBE-GGA was carried out for a geometry-optimized Dy7Ho2Er4 structure.

```
Dy7Ho2Er4
1.0
-3.520 -5.807 -6.382
-2.426 -6.930 2.815
-5.150 3.094 0.981
Dy Er Ho
7 4 2
Cartesian
-5.539 -1.799 1.779 Dy
-1.851 -2.614 -1.454 Dy
-5.558 -7.844 -4.365 Dy
0.000 0.000 0.000 Dy
-5.354 -2.380 -1.693 Dy
-9.245 -7.028 -1.133 Dy
-5.743 -7.263 -0.893 Dy
-7.596 -9.886 -2.349 Er
-3.891 -4.654 0.564 Er
-3.501 0.243 -0.237 Er
-7.205 -4.988 -3.150 Er
-7.391 -4.412 0.325 Ho
-3.705 -5.231 -2.911 Ho
```

The total DFT energy (no corrections) comes out at -4.566 eV per atom. As for the energy relative to the elements: 0.020 eV/atom. As for the density of states at the Fermi level: 17.495 states/eV/f.u.